[1]
A plane-wave DFT calculation with PBE was carried out for a geometry-optimized MgHg2Ru structure.

```
MgHg2Ru
1.0
-3.823 -1.135 -0.991
1.300 -1.117 -3.735
0.566 -10.210 0.991
Ru Mg Hg
2 2 4
direct
0.000 0.000 0.000 Ru
0.750 0.250 0.500 Ru
0.500 0.500 0.000 Mg
0.250 0.750 0.500 Mg
0.635 0.125 0.250 Hg
0.115 0.625 0.250 Hg
0.375 0.365 0.750 Hg
0.875 0.885 0.750 Hg
```


[2]
A plane-wave DFT calculation with PBE was carried out for a geometry-optimized MgHg2Ru structure.

```
MgHg2Ru
1.0
-1.346 -1.805 2.107
-1.000 -1.869 -2.240
6.940 -4.455 0.617
Hg Mg Ru
2 1 1
direct
0.000 0.000 0.962 Hg
0.500 0.500 0.266 Hg
0.000 0.000 0.535 Mg
0.500 0.500 0.737 Ru
```


[3]
A plane-wave DFT calculation with PBE was carried out for a geometry-optimized Mg2HgRu structure.

```
Mg2HgRu
1.0
-8.737 3.521 -1.687
-8.439 1.767 -4.153
-9.428 0.563 -1.542
Hg Mg Ru
1 2 1
direct
0.750 0.750 0.750 Hg
0.989 0.989 0.989 Mg
0.511 0.511 0.511 Mg
0.250 0.250 0.250 Ru
```


[4]
A plane-wave DFT calculation with PBE was carried out for a geometry-optimized Mg2HgRu2 structure.

```
Mg2HgRu2
1.0
7.008 0.000 0.000
0.000 7.008 0.000
0.000 0.000 3.669
Ru Mg Hg
4 4 2
direct
0.378 0.878 0.000 Ru
0.878 0.622 0.000 Ru
0.622 0.122 0.000 Ru
0.122 0.378 0.000 Ru
0.171 0.671 0.500 Mg
0.671 0.829 0.500 Mg
0.829 0.329 0.500 Mg
0.329 0.171 0.500 Mg
0.000 0.000 0.000 Hg
0.500 0.500 0.000 Hg
```


[5]
A plane-wave DFT calculation with PBE was carried out for a geometry-optimized Mg2HgRu structure.

```
Mg2HgRu
1.0
3.603 0.000 0.000
0.000 4.382 0.000
0.000 0.000 4.382
Ru Mg Hg
1 2 1
direct
0.500 0.000 0.000 Ru
0.000 0.000 0.500 Mg
0.000 0.500 0.000 Mg
0.500 0.500 0.500 Hg
```


[6]
A plane-wave DFT calculation with PBE was carried out for a geometry-optimized Mg2ScHgRu structure.

```
Mg2ScHgRu
1.0
5.643 0.000 0.000
0.000 4.422 0.000
0.000 0.000 5.643
Sc Ru Mg Hg
1 1 2 1
direct
0.000 0.000 0.000 Sc
0.000 0.500 0.000 Ru
0.000 0.000 0.500 Mg
0.500 0.000 0.000 Mg
0.500 0.500 0.500 Hg
```


[7]
A plane-wave DFT calculation with PBE was carried out for a geometry-optimized Mg2ScHgRu structure.

```
Mg2ScHgRu
1.0
4.807 0.000 0.000
0.000 5.216 0.000
0.000 0.000 4.807
Sc Ru Mg Hg
1 1 2 1
direct
0.500 0.500 0.500 Sc
0.000 0.000 0.000 Ru
0.000 0.000 0.500 Mg
0.500 0.000 0.000 Mg
0.000 0.500 0.000 Hg
```


[8]
A plane-wave DFT calculation with PBE was carried out for a geometry-optimized SmMgHgRu structure.

```
SmMgHgRu
1.0
-1.290 -4.404 1.776
3.468 -3.232 1.321
0.711 -1.039 4.757
Ru Mg Hg Sm
1 1 1 1
direct
0.750 0.750 0.750 Ru
0.000 0.000 0.000 Mg
0.250 0.250 0.250 Hg
0.500 0.500 0.500 Sm
```


[9]
A plane-wave DFT calculation with PBE was carried out for a geometry-optimized ThMgHgRu structure.

```
ThMgHgRu
1.0
-4.760 0.910 1.203
-3.218 -3.786 0.494
-1.714 -1.245 4.521
Ru Mg Hg Th
1 1 1 1
direct
0.750 0.750 0.750 Ru
0.000 0.000 0.000 Mg
0.250 0.250 0.250 Hg
0.500 0.500 0.500 Th
```


[10]
A plane-wave DFT calculation with PBE was carried out for a geometry-optimized MgTlHgRu2 structure.

```
MgTlHgRu2
1.0
4.696 0.000 0.000
0.000 5.066 0.000
0.000 0.000 4.696
Mg Ru Tl Hg
1 2 1 1
direct
0.000 0.000 0.000 Mg
0.000 0.000 0.500 Ru
0.500 0.000 0.000 Ru
0.000 0.500 0.000 Tl
0.500 0.500 0.500 Hg
```


[11]
A plane-wave DFT calculation with PBE was carried out for a geometry-optimized Tm5Mg2HgRu2 structure.

```
Tm5Mg2HgRu2
1.0
-2.654 2.209 1.612
-6.885 -8.973 0.961
4.353 -2.243 10.240
Tm Mg Hg Ru
10 4 2 4
direct
0.500 0.209 0.077 Tm
0.500 0.791 0.923 Tm
0.500 0.077 0.791 Tm
0.500 0.709 0.423 Tm
0.500 0.923 0.209 Tm
0.500 0.291 0.577 Tm
0.500 0.577 0.709 Tm
0.500 0.423 0.291 Tm
0.500 0.500 0.000 Tm
0.500 0.000 0.500 Tm
0.000 0.673 0.173 Mg
0.000 0.327 0.827 Mg
0.000 0.173 0.327 Mg
0.000 0.827 0.673 Mg
0.000 0.000 0.000 Hg
0.000 0.500 0.500 Hg
0.000 0.126 0.626 Ru
0.000 0.874 0.374 Ru
0.000 0.626 0.874 Ru
0.000 0.374 0.126 Ru
```


[12]
A plane-wave DFT calculation with PBE was carried out for a geometry-optimized YMgHgRu structure.

```
YMgHgRu
1.0
-2.812 0.063 -3.962
-0.532 -4.027 -2.666
-4.243 -2.367 -0.005
Y Ru Mg Hg
1 1 1 1
direct
0.750 0.750 0.750 Y
0.500 0.500 0.500 Ru
0.250 0.250 0.250 Mg
0.000 0.000 0.000 Hg
```


| no. | ΔE_f (eV/atom) | DOS(E_F) (states/eV per cell) |
| --- | --- | --- |
| 1 | 0.44 | 2.8 |
| 2 | 0.21 | 3.9 |
| 3 | 0.09 | 2.7 |
| 4 | 0.14 | 6.1 |
| 5 | -0.05 | 1.8 |
| 6 | 0.87 | 4.0 |
| 7 | 0.38 | 5.6 |
| 8 | -0.10 | 3.0 |
| 9 | -0.10 | 4.5 |
| 10 | 1.38 | 6.0 |
| 11 | -0.30 | 15.2 |
| 12 | -0.15 | 3.0 |